This record from the Alexandria database describes a geometry-optimized LaSc4Br structure. The functional is PBE-GGA.

a = 6.2887 Å, b = 6.2887 Å, c = 6.2887 Å
α = 60.00°, β = 60.00°, γ = 60.00°
Atoms (fractional coordinates):
Sc 0.3722 0.3722 0.8835
Br 0.7500 0.7500 0.7500
Sc 0.3722 0.8835 0.3722
La 0.0000 0.0000 0.0000
Sc 0.3722 0.3722 0.3722
Sc 0.8835 0.3722 0.3722

Total moment in μB/cell: 2.6
Crystal system: cubic
Mass density in g cm⁻³: 3.764
Formation energy from raw total energies in meV/atom: 247